one | A geometry-optimized Cd3InAu12 structure. Source: Alexandria via LeMat-Bulk, functional PBE-GGA.

Density = 15.6 Mg/m³
Total moment = 0.0000 μB/atom

Unit cell a=4.1564 b=4.1564 c=17.3297 alpha=90.00 beta=90.00 gamma=90.00
With the nearest neighbours (Å) after each atom.
Space group P4/mmm (No. 123)
Unique sites:
Cd: 0.0000 0.0000 0.0000 (multiplicity 1)  12 Au 2.94-3.00
Cd: 0.0000 0.0000 0.2491 (multiplicity 2)  12 Au 2.94-3.00
In: 0.0000 0.0000 0.5000 (multiplicity 1)  12 Au 2.94-3.01
Au: 0.0000 0.5000 0.1246 (multiplicity 4)  8 Au 2.94-3.00, 4 Cd 2.99-3.00
Au: 0.0000 0.5000 0.3741 (multiplicity 4)  8 Au 2.94-3.01, 2 Cd 3.00, 2 In 3.01
Au: 0.5000 0.5000 0.0000 (multiplicity 1)  4 Cd 2.94, 8 Au 3.00
Au: 0.5000 0.5000 0.2491 (multiplicity 2)  4 Cd 2.94, 8 Au 3.00
Au: 0.5000 0.5000 0.5000 (multiplicity 1)  4 In 2.94, 8 Au 3.01


two | A geometry-optimized Cd3InAu12 structure. Source: Alexandria via LeMat-Bulk, functional PBE-GGA.

Density = 15.7 Mg/m³
Total moment = 0.0000 μB/atom

Unit cell a=5.9082 b=5.9082 c=9.8721 alpha=90.00 beta=90.00 gamma=120.00
With the nearest neighbours (Å) after each atom.
Space group P-6m2 (No. 187)
Unique sites:
Cd: 0.0000 0.0000 0.0000 (multiplicity 1)  12 Au 2.95-2.99
Cd: 0.6667 0.3333 0.2480 (multiplicity 2)  12 Au 2.95-3.02
In: 0.3333 0.6667 0.5000 (multiplicity 1)  12 Au 2.95-3.01
Au: 0.0016 0.5008 0.0000 (multiplicity 3)  8 Au 2.94-2.98, 4 Cd 2.95-2.99
Au: 0.1667 0.3333 0.2482 (multiplicity 6)  8 Au 2.95-3.01, 3 Cd 2.95-2.99, 1 In 3.01
Au: 0.3323 0.1662 0.5000 (multiplicity 3)  8 Au 2.95-3.01, 2 In 2.95, 2 Cd 3.02


Quick ranking, most stable first: two, one.


one | A geometry-optimized Cd2InAu8 structure. Source: Alexandria via LeMat-Bulk, functional PBE-GGA.

Density = 14.6 Mg/m³
Total moment = 0.0000 μB/atom

Unit cell a=5.1122 b=5.8592 c=7.9156 alpha=109.96 beta=101.55 gamma=90.17
With the nearest neighbours (Å) after each atom.
Space group P-1 (No. 2)
Unique sites:
Cd: 0.2184 0.3365 0.1741 (multiplicity 2)  11 Au 2.89-3.09
In: 0.0000 0.0000 0.5000 (multiplicity 1)  10 Au 2.89-2.98
Au: 0.2247 0.8307 0.1624 (multiplicity 2)  8 Au 2.92-3.06, 3 Cd 2.93-3.00, 1 In 2.98
Au: 0.2730 0.4168 0.8234 (multiplicity 2)  7 Au 2.88-3.11, 3 Cd 2.90-3.03, 1 In 2.96
Au: 0.2733 0.9101 0.8255 (multiplicity 2)  7 Au 2.88-3.09, 1 In 2.89, 3 Cd 2.90-3.09
Au: 0.4954 0.7423 0.4986 (multiplicity 2)  6 Au 2.85-3.06, 2 Cd 2.89-2.93, 2 In 2.95-2.98


two | A geometry-optimized Cd2InAu8 structure. Source: Alexandria via LeMat-Bulk, functional PBE-GGA.

Density = 14.5 Mg/m³
Total moment = 0.0000 μB/atom

Unit cell a=8.5824 b=11.3257 c=4.5030 alpha=90.00 beta=90.12 gamma=90.00
With the nearest neighbours (Å) after each atom.
Space group C2/m (No. 12)
Unique sites:
Cd: 0.0000 0.1260 0.0000 (multiplicity 4)  8 Au 2.72-3.03, 1 Cd 2.85
In: 0.0000 0.5000 0.5000 (multiplicity 2)  4 Au 2.71-2.85
Au: 0.0000 0.2612 0.5000 (multiplicity 4)  1 In 2.71, 2 Cd 2.72, 4 Au 2.95
Au: 0.1676 0.0000 0.4990 (multiplicity 4)  1 In 2.85, 5 Au 2.88-3.04, 4 Cd 3.02-3.03
Au: 0.1711 0.3680 0.0012 (multiplicity 8)  2 Cd 2.82-3.11, 7 Au 2.94-3.04, 2 In 3.07-3.08


Quick ranking, most stable first: one, two.